(1)
## Pa2ZnTe6 (PBE-GGA)

Data for an optimized crystal structure of Pa2ZnTe6.

Raw formation energy, eV per atom: -0.53
D(E_F), states/eV/f.u.: 0.92

Cell and atoms, written as POSCAR:
```
Pa2ZnTe6
1.0
-5.845 -2.363 -3.156
3.617 -0.966 -5.974
2.922 -12.235 3.748
Zn Te Pa
2 12 4
Cartesian
0.347 -7.782 -2.691 Zn
0.000 0.000 0.000 Zn
1.259 -9.083 -0.275 Te
-2.474 -8.198 -1.851 Te
-0.664 -0.993 -2.723 Te
0.373 -10.406 -3.905 Te
-3.495 -4.048 -3.115 Te
2.204 -3.206 -4.813 Te
-1.510 -12.357 -0.570 Te
3.168 -7.365 -3.532 Te
-1.564 -2.336 -6.408 Te
-0.565 -6.481 -5.108 Te
4.189 -11.516 -2.267 Te
0.321 -5.157 -1.477 Te
-0.622 -3.724 -3.934 Pa
0.969 -4.058 1.243 Pa
1.953 -8.177 2.505 Pa
1.316 -11.840 -1.448 Pa
```

=====

(2)
## NpPa2Os (PBE-GGA)

Data for an optimized crystal structure of NpPa2Os.

Polymorph energy (0 for the lowest one), eV per atom: 0.3875
Formation energy from the elements, meV/atom: 325
D(E_F), states/eV/f.u.: 7.10

Cell and atoms, written as POSCAR:
```
NpPa2Os
1.0
-2.097 -0.003 2.174
0.754 -0.761 2.825
1.727 9.730 3.775
Pa Np Os
2 1 1
Cartesian
1.134 7.007 3.200 Pa
-0.750 1.959 5.574 Pa
0.000 0.000 0.000 Np
0.192 4.483 4.387 Os
```

=====

(3)
## LaP2Os (PBE-GGA)

Data for an optimized crystal structure of LaP2Os.

Polymorph energy (0 for the lowest one), eV per atom: 0.2523
Formation energy from the elements, meV/atom: -624
D(E_F), states/eV/f.u.: 3.26

Cell and atoms, written as POSCAR:
```
LaP2Os
1.0
4.928 0.006 0.001
-0.103 4.927 -0.001
-1.505 -3.355 3.281
Os La P
1 1 2
Cartesian
0.403 2.019 1.640 Os
2.918 -0.441 1.641 La
0.329 0.337 0.000 P
2.083 2.130 0.000 P
```

=====

(4)
## FeOs2Br (PBE-GGA)

Data for an optimized crystal structure of FeOs2Br.

Polymorph energy (0 for the lowest one), eV per atom: 0.0000
Raw formation energy, eV per atom: 0.67
D(E_F), states/eV/f.u.: 4.09

Cell and atoms, written as POSCAR:
```
FeOs2Br
1.0
-0.997 1.839 2.893
-1.951 -1.988 0.591
4.649 -3.437 3.787
Fe Br Os
1 1 2
Cartesian
2.262 -2.837 4.786 Fe
1.403 -2.751 2.233 Br
-0.661 -0.676 2.405 Os
0.044 -0.033 0.036 Os
```

=====

(5)
## BaCdTe2 (PBE-GGA)

Data for an optimized crystal structure of BaCdTe2.

Raw formation energy, eV per atom: -0.91
D(E_F), states/eV/f.u.: 0.00

Cell and atoms, written as POSCAR:
```
BaCdTe2
1.0
1.535 -2.091 8.679
3.626 -6.110 5.620
6.391 -1.438 6.256
Te Ba Cd
2 1 1
Cartesian
1.198 -1.000 2.132 Te
10.354 -8.639 18.423 Te
5.776 -4.820 10.278 Ba
0.000 0.000 0.000 Cd
```

=====

(6)
## ZrMnBe2 (PBE-GGA)

Data for an optimized crystal structure of ZrMnBe2.

Polymorph energy (0 for the lowest one), eV per atom: 0.2911
Formation energy from the elements, meV/atom: 245
D(E_F), states/eV/f.u.: 5.83

Cell and atoms, written as POSCAR:
```
ZrMnBe2
1.0
4.230 0.000 0.000
2.115 3.663 0.000
2.115 1.221 3.454
Zr Be Mn
1 2 1
Cartesian
6.345 3.663 2.590 Zr
0.000 0.000 0.000 Be
2.115 1.221 0.863 Be
4.230 2.442 1.727 Mn
```

=====

Respective total energy values: -87.77; -41.86; -29.47; -29.90; -12.77; -24.19 eV/cell.
Respective spin magnetization values: 0.00; 2.69; 0.00; 3.04; 0.00; 2.82 μB per cell.